LuHfC: optimized geometry, PBE.

Values from the calculation:
Its density is 10.920 g cm⁻³. The volume is 55.6 Å³/cell. Its crystal system is trigonal. The formation energy comes out at -10.50 kcal/mol of atoms. For the uncorrected energy, the calculation gives -8.355 eV/atom.

a = 5.613 Å, b = 3.381 Å, c = 3.381 Å
α = 120.00°, β = 90.00°, γ = 90.00°
Element x y z (fractional)
C 0.021 0.000 0.000
Lu 0.759 0.667 0.333
Hf 0.219 0.333 0.667